Computed, not measured: an optimized crystal structure of BaAgRu3 at the GGA-PBE level of DFT.

extended XYZ file:
```
5
Lattice="5.015 0.000 0.000 0.000 5.015 0.000 0.000 0.000 5.015" Properties=species:S:1:pos:R:3 pbc="T T T"
Ba 0.000 0.000 0.000
Ag 2.507 2.507 2.507
Ru 0.000 2.507 2.507
Ru 2.507 0.000 2.507
Ru 2.507 2.507 0.000
```

Values from the calculation:
DFT formation energy = 1.67 eV/atom
excess energy over the best structure of this formula in the dataset = 0.0 meV per atom
calculated total energy = -24.3 eV for the cell shown



Computed, not measured: an optimized crystal structure of HgPd2Pb6 at the GGA-PBE level of DFT.

extended XYZ file:
```
18
Lattice="-4.545 4.596 5.714 4.545 -4.596 5.714 4.545 4.596 -5.714" Properties=species:S:1:pos:R:3 pbc="T T T"
Hg 0.000 0.000 0.000
Hg 0.000 0.000 5.714
Pd 4.545 0.000 1.472
Pd 0.000 3.014 0.000
Pd 0.000 6.178 0.000
Pd 0.000 4.596 4.242
Pb 4.545 2.720 -2.867
Pb 2.691 1.750 0.000
Pb 6.399 1.750 0.000
Pb 1.746 4.596 -1.915
Pb 2.799 0.000 3.798
Pb 0.000 1.876 2.847
Pb 4.545 2.720 2.867
Pb 1.746 4.596 1.915
Pb 2.799 0.000 7.629
Pb -1.854 2.846 5.714
Pb 1.854 2.846 5.714
Pb 0.000 1.876 8.581
```

Values from the calculation:
DFT formation energy = -0.12 eV/atom
calculated total energy = -68.0 eV for the cell shown



Computed, not measured: an optimized crystal structure of Tb4SmEr2Th at the GGA-PBE level of DFT.

extended XYZ file:
```
8
Lattice="5.030 0.000 0.000 0.000 5.041 0.000 0.000 0.000 10.065" Properties=species:S:1:pos:R:3 pbc="T T T"
Tb 0.000 0.000 2.490
Tb 0.000 0.000 7.575
Tb 2.515 2.520 2.483
Tb 2.515 2.520 7.582
Sm 0.000 2.520 5.033
Er 0.000 2.520 0.000
Er 2.515 0.000 5.033
Th 2.515 0.000 0.000
```

Values from the calculation:
DFT formation energy = 0.03 eV/atom
calculated total energy = -39.5 eV for the cell shown



Computed, not measured: an optimized crystal structure of MgMnCo at the GGA-PBE level of DFT.

extended XYZ file:
```
6
Lattice="2.734 -6.044 0.000 2.734 6.044 0.000 -1.038 0.000 2.433" Properties=species:S:1:pos:R:3 pbc="T T T"
Mg 2.734 3.690 0.000
Mg 2.734 -3.690 0.000
Mn 0.330 0.000 1.818
Mn 4.100 0.000 0.615
Co 2.215 1.284 1.216
Co 2.215 -1.284 1.216
```

Values from the calculation:
DFT formation energy = 0.21 eV/atom
excess energy over the best structure of this formula in the dataset = 147.8 meV per atom
calculated total energy = -34.5 eV for the cell shown



Respective density of states at the Fermi level values: 1.484 0.465 1.388 1.017 states/eV/atom.
Respective magnetization values: 1.180 0.000 0.000 0.000 μB per atom.